Entry 1:
Y6ScTl2: optimized geometry, PBE-GGA.

Computed properties:
E_form ... -0.162 eV/atom
DFT total energy ... -5.70 eV/atom
Size of the total moment ... 0.00 μB per formula unit
Volume ... 29.5 Å³/atom

CIF file:
```
data_Y6ScTl2
_chemical_formula_sum 'Y12 Sc2 Tl4'
_cell_length_a 12.6972
_cell_length_b 3.6971
_cell_length_c 11.8094
_cell_angle_alpha 90.00
_cell_angle_beta 106.92
_cell_angle_gamma 90.00
_symmetry_space_group_name_H-M 'C 1 2/m 1'
_symmetry_Int_Tables_number 12
_symmetry_space_group_name_Hall '-C 2y'
loop_
_atom_site_label
_atom_site_type_symbol
_atom_site_fract_x
_atom_site_fract_y
_atom_site_fract_z
_atom_site_occupancy
Y1 Y 0.0221 0.0000 0.3437 1
Y2 Y 0.1748 0.5000 0.8792 1
Y3 Y 0.1916 0.5000 0.5926 1
Sc1 Sc 0.0000 0.0000 0.0000 1
Tl1 Tl 0.1380 0.5000 0.1852 1
```

---

Entry 2:
Ti2CdAs: optimized geometry, PBE-GGA.

Computed properties:
E_form ... -0.107 eV/atom
DFT total energy ... -5.45 eV/atom
Size of the total moment ... 0.00 μB per formula unit
Volume ... 17.4 Å³/atom

CIF file:
```
data_Ti2CdAs
_chemical_formula_sum 'Ti8 Cd4 As4'
_cell_length_a 6.5277
_cell_length_b 6.5277
_cell_length_c 6.5277
_cell_angle_alpha 90.00
_cell_angle_beta 90.00
_cell_angle_gamma 90.00
_symmetry_space_group_name_H-M 'F m -3 m'
_symmetry_Int_Tables_number 225
_symmetry_space_group_name_Hall '-F 4 2 3'
loop_
_atom_site_label
_atom_site_type_symbol
_atom_site_fract_x
_atom_site_fract_y
_atom_site_fract_z
_atom_site_occupancy
Ti1 Ti 0.2500 0.2500 0.2500 1
Cd1 Cd 0.0000 0.0000 0.0000 1
As1 As 0.0000 0.0000 0.5000 1
```

---

Entry 3:
AlSb2RhI: optimized geometry, PBE-GGA.

Computed properties:
DFT total energy ... -3.24 eV/atom
Uncorrected formation energy ... 0.942 eV per atom
Size of the total moment ... 0.26 μB per formula unit
Volume ... 28.6 Å³/atom

CIF file:
```
data_AlSb2RhI
_chemical_formula_sum 'Al1 Sb2 Rh1 I1'
_cell_length_a 5.1945
_cell_length_b 5.1945
_cell_length_c 5.3024
_cell_angle_alpha 90.00
_cell_angle_beta 90.00
_cell_angle_gamma 90.00
_symmetry_space_group_name_H-M 'P 4/m m m'
_symmetry_Int_Tables_number 123
_symmetry_space_group_name_Hall '-P 4 2'
loop_
_atom_site_label
_atom_site_type_symbol
_atom_site_fract_x
_atom_site_fract_y
_atom_site_fract_z
_atom_site_occupancy
Al1 Al 0.0000 0.0000 0.0000 1
Sb1 Sb 0.0000 0.5000 0.0000 1
Rh1 Rh 0.5000 0.5000 0.5000 1
I1 I 0.0000 0.0000 0.5000 1
```

---

Entry 4:
SmIn2Pd2: optimized geometry, PBE-GGA.

Computed properties:
E_form ... -0.658 eV/atom
DFT total energy ... -4.77 eV/atom
Size of the total moment ... 0.00 μB per formula unit
Volume ... 22.3 Å³/atom

CIF file:
```
data_SmIn2Pd2
_chemical_formula_sum 'Sm2 In4 Pd4'
_cell_length_a 5.3090
_cell_length_b 4.7585
_cell_length_c 9.0993
_cell_angle_alpha 90.00
_cell_angle_beta 104.28
_cell_angle_gamma 90.00
_symmetry_space_group_name_H-M 'P 1 21/m 1'
_symmetry_Int_Tables_number 11
_symmetry_space_group_name_Hall '-P 2yb'
loop_
_atom_site_label
_atom_site_type_symbol
_atom_site_fract_x
_atom_site_fract_y
_atom_site_fract_z
_atom_site_occupancy
Sm1 Sm 0.2006 0.2500 0.2653 1
In1 In 0.2228 0.2500 0.6291 1
In2 In 0.3611 0.7500 0.0329 1
Pd1 Pd 0.1059 0.2500 0.9064 1
Pd2 Pd 0.3233 0.7500 0.4731 1
```